# 1
AlCuRuAu: relaxed, GGA-PBE.

Values from the calculation:
The value obtained for the formation energy is -0.1971 eV per atom. Its space group is No. 216.

Cell lengths 4.322, 4.322, 4.322 Å; angles 60.00, 60.00, 60.00 degrees
Positions (direct):
Ru 0.750 0.750 0.750
Au 0.250 0.250 0.250
Al 0.500 0.500 0.500
Cu 0.000 0.000 0.000

# 2
Ca2ScBr: relaxed, GGA-PBE.

Values from the calculation:
Its space group is No. 123. As for the energy above the most stable polymorph in this dataset: 301 meV/atom. The value obtained for the formation energy (no corrections) is -6.02 kcal/mol of atoms.

Cell lengths 3.622, 5.962, 5.962 Å; angles 90.00, 90.00, 90.00 degrees
Positions (direct):
Sc 0.500 0.500 0.000
Ca 0.000 0.000 0.000
Ca 0.000 0.500 0.500
Br 0.500 0.000 0.500

# 3
SIO: relaxed, GGA-PBE.

Values from the calculation:
Its space group is No. 12. The value obtained for the formation energy (no corrections) is 7.54 kcal/mol of atoms.

Cell lengths 6.989, 4.117, 7.284 Å; angles 106.41, 125.06, 90.00 degrees
Positions (direct):
S 0.807 0.049 0.099
S 0.193 0.951 0.901
O 0.711 0.299 0.598
O 0.289 0.701 0.402
I 0.789 0.830 0.660
I 0.211 0.170 0.340

# 4
PaRu3: relaxed, GGA-PBE.

Values from the calculation:
The value obtained for the formation energy is -0.2544 eV per atom. Its space group is No. 139.

Cell lengths 4.060, 4.060, 4.937 Å; angles 114.28, 114.28, 90.00 degrees
Positions (direct):
Ru 0.750 0.250 0.500
Ru 0.250 0.750 0.500
Ru 0.500 0.500 0.000
Pa 0.000 0.000 0.000

# 5
Ba2In3Pd12Pt: relaxed, GGA-PBE.

Values from the calculation:
The value obtained for the formation energy is -0.1726 eV per atom. Its space group is No. 166.

Cell lengths 10.282, 10.282, 10.282 Å; angles 39.35, 39.35, 39.35 degrees
Positions (direct):
Ba 0.658 0.658 0.658
Ba 0.342 0.342 0.342
In 0.500 0.000 0.000
In 0.000 0.500 0.000
In 0.000 0.000 0.500
Pd 0.420 0.420 0.809
Pd 0.937 0.937 0.343
Pd 0.343 0.937 0.937
Pd 0.809 0.420 0.420
Pd 0.937 0.343 0.937
Pd 0.420 0.809 0.420
Pd 0.580 0.580 0.191
Pd 0.063 0.063 0.657
Pd 0.657 0.063 0.063
Pd 0.191 0.580 0.580
Pd 0.063 0.657 0.063
Pd 0.580 0.191 0.580
Pt 0.000 0.000 0.000

# 6
NbReBr2: relaxed, GGA-PBE.

Values from the calculation:
Its space group is No. 122. As for the energy above the most stable polymorph in this dataset: 749 meV/atom. The value obtained for the formation energy (no corrections) is 32.55 kcal/mol of atoms.

Cell lengths 5.745, 5.745, 7.047 Å; angles 65.94, 65.94, 90.00 degrees
Positions (direct):
Re 0.000 0.000 0.000
Re 0.750 0.250 0.500
Nb 0.500 0.500 0.000
Nb 0.250 0.750 0.500
Br 0.643 0.125 0.250
Br 0.107 0.625 0.250
Br 0.375 0.357 0.750
Br 0.875 0.893 0.750

# 7
LiLa2H6Rh: relaxed, GGA-PBE.

Values from the calculation:
The total DFT energy (no corrections) is -4.3785 eV per atom. Its space group is No. 164.

Cell lengths 4.802, 5.205, 5.205 Å; angles 120.00, 90.00, 90.00 degrees
Positions (direct):
Li 0.500 0.000 0.000
La 0.248 0.333 0.667
La 0.752 0.667 0.333
H 0.766 0.163 0.326
H 0.766 0.163 0.837
H 0.766 0.674 0.837
H 0.234 0.837 0.163
H 0.234 0.326 0.163
H 0.234 0.837 0.674
Rh 0.000 0.000 0.000

# 8
BeBiF2: relaxed, GGA-PBE.

Values from the calculation:
Its space group is No. 225. As for the energy above the most stable polymorph in this dataset: 1368 meV/atom. The value obtained for the formation energy (no corrections) is -13.47 kcal/mol of atoms.

Cell lengths 4.412, 4.412, 4.412 Å; angles 60.00, 60.00, 60.00 degrees
Positions (direct):
Be 0.000 0.000 0.000
Bi 0.500 0.500 0.500
F 0.250 0.250 0.250
F 0.750 0.750 0.750